# GGA+U Sr2NiTeO6, optimized geometry
# **Uncorrected energy**: -58.22 eV/cell
# **Magnetic moment**: 1.98 μB/cell
# **Excess energy over the best structure of this formula in the dataset**: 1 meV/atom
data_Sr2NiTeO6
_chemical_formula_sum 'Sr2 Ni1 Te1 O6'
_cell_length_a 5.6395
_cell_length_b 5.6492
_cell_length_c 5.6629
_cell_angle_alpha 60.68
_cell_angle_beta 60.14
_cell_angle_gamma 60.06
_space_group_name_H-M_alt 'P 1'
_space_group_IT_number 1
loop_
_space_group_symop_operation_xyz
'x,y,z'
loop_
_atom_site_label
_atom_site_type_symbol
_atom_site_fract_x
_atom_site_fract_y
_atom_site_fract_z
Sr1 Sr 0.7502 0.7458 0.7537
Sr2 Sr 0.2498 0.2542 0.2463
Ni1 Ni 0.5000 0.5000 0.5000
Te1 Te 0.0000 0.0000 0.0000
O1 O 0.7597 0.1775 0.3032
O2 O 0.2403 0.8225 0.6968
O3 O 0.7235 0.2728 0.7950
O4 O 0.7913 0.7272 0.2050
O5 O 0.2765 0.7272 0.2050
O6 O 0.2087 0.2728 0.7950